# 1
Compound: Y2CuMo
Source: the Alexandria database
Functional: PBE-GGA
Structure: relaxed

Lattice parameters (Å, degrees): 4.193 4.063 5.716 69.21 90.00 90.00
Atoms (fractional coordinates):
Cu (0.000, 0.691, 0.492)
Mo (0.500, 0.561, 0.753)
Y (0.000, 0.977, 0.921)
Y (0.500, 0.271, 0.334)

calculated formation energy = 56.3 kJ/mol of formula units
N(E_F) = 5.10 states/eV per cell
electronic total energy = -6.8180 eV/atom
symmetry = Amm2, No. 38
excess energy over the best structure of this formula in the dataset = 0 meV per atom
magnetization = 0.00 Bohr magnetons per cell



# 2
Compound: CePrLuZr
Source: the Alexandria database
Functional: PBE-GGA
Structure: relaxed

Lattice parameters (Å, degrees): 5.513 5.513 5.513 60.00 60.00 60.00
Atoms (fractional coordinates):
Pr (0.250, 0.250, 0.250)
Lu (0.000, 0.000, 0.000)
Zr (0.750, 0.750, 0.750)
Ce (0.500, 0.500, 0.500)

calculated formation energy = 99.7 kJ/mol of formula units
N(E_F) = 8.75 states/eV per cell
electronic total energy = -5.6872 eV/atom
symmetry = F-43m, No. 216
magnetization = 3.34 Bohr magnetons per cell



# 3
Compound: Cs2Zr3Se6
Source: the Alexandria database
Functional: PBE-GGA
Structure: relaxed

Lattice parameters (Å, degrees): 6.688 6.688 8.986 82.87 75.62 60.00
Atoms (fractional coordinates):
Cs (0.167, 0.667, 0.500)
Cs (0.833, 0.333, 0.500)
Zr (0.000, 0.000, 0.000)
Zr (0.333, 0.335, 0.000)
Zr (0.667, 0.665, 0.000)
Se (0.395, 0.670, 0.815)
Se (0.725, 0.000, 0.816)
Se (0.065, 0.330, 0.815)
Se (0.275, 0.000, 0.184)
Se (0.605, 0.330, 0.185)
Se (0.935, 0.670, 0.185)

N(E_F) = 6.16 states/eV per cell
electronic total energy = -5.7728 eV/atom
symmetry = C2/m, No. 12
formation energy (no corrections) = -15.24 eV per formula unit
magnetization = 0.00 Bohr magnetons per cell



# 4
Compound: Y2ErTm3Te6
Source: the Alexandria database
Functional: PBE-GGA
Structure: relaxed

Lattice parameters (Å, degrees): 4.304 8.700 9.688 103.38 102.83 90.00
Atoms (fractional coordinates):
Y (0.832, 0.665, 0.664)
Y (0.168, 0.335, 0.336)
Er (0.500, 0.000, 0.000)
Tm (0.500, 0.500, 0.000)
Tm (0.831, 0.167, 0.662)
Tm (0.169, 0.833, 0.338)
Te (0.334, 0.921, 0.668)
Te (0.665, 0.586, 0.329)
Te (0.666, 0.079, 0.332)
Te (0.998, 0.250, 0.997)
Te (0.002, 0.750, 0.003)
Te (0.335, 0.414, 0.671)

N(E_F) = 6.47 states/eV per cell
electronic total energy = -5.3690 eV/atom
symmetry = C2/m, No. 12
formation energy (no corrections) = -14.67 eV per formula unit
magnetization = 0.00 Bohr magnetons per cell



# 5
Compound: AlV5P2
Source: the Alexandria database
Functional: PBE-GGA
Structure: relaxed

Lattice parameters (Å, degrees): 3.133 6.759 6.759 53.41 76.60 76.60
Atoms (fractional coordinates):
Al (0.000, 0.000, 0.000)
V (0.000, 0.500, 0.500)
V (0.635, 0.609, 0.121)
V (0.365, 0.391, 0.879)
V (0.365, 0.879, 0.391)
V (0.635, 0.121, 0.609)
P (0.784, 0.716, 0.716)
P (0.216, 0.284, 0.284)

calculated formation energy = -412.7 kJ/mol of formula units
N(E_F) = 6.30 states/eV per cell
electronic total energy = -8.0541 eV/atom
symmetry = Immm, No. 71
magnetization = 0.00 Bohr magnetons per cell



# 6
Compound: TbPmTm2Sc4
Source: the Alexandria database
Functional: PBE-GGA
Structure: relaxed

Lattice parameters (Å, degrees): 9.073 9.073 11.259 128.35 128.36 88.41
Atoms (fractional coordinates):
Tb (0.500, 0.500, 0.500)
Tb (0.000, 0.000, 0.000)
Pm (0.000, 0.500, 0.000)
Pm (0.000, 0.500, 0.500)
Tm (0.500, 0.000, 0.000)
Tm (0.500, 0.000, 0.500)
Tm (0.000, 0.000, 0.500)
Tm (0.500, 0.500, 0.000)
Sc (0.253, 0.749, 0.001)
Sc (0.751, 0.247, 0.499)
Sc (0.249, 0.753, 0.501)
Sc (0.747, 0.251, 0.999)
Sc (0.748, 0.751, 0.001)
Sc (0.749, 0.752, 0.499)
Sc (0.251, 0.248, 0.501)
Sc (0.252, 0.249, 0.999)

calculated formation energy = 341.0 kJ/mol of formula units
N(E_F) = 33.92 states/eV per cell
electronic total energy = -5.0145 eV/atom
symmetry = Imma, No. 74
magnetization = 7.25 Bohr magnetons per cell



# 7
Compound: SrLiCa2Cd4
Source: the Alexandria database
Functional: PBE-GGA
Structure: relaxed

Lattice parameters (Å, degrees): 5.381 5.381 9.441 73.44 73.44 60.00
Atoms (fractional coordinates):
Sr (0.000, 0.000, 0.000)
Li (0.500, 0.500, 0.500)
Ca (0.754, 0.754, 0.739)
Ca (0.246, 0.246, 0.261)
Cd (0.387, 0.387, 0.838)
Cd (0.873, 0.873, 0.381)
Cd (0.127, 0.127, 0.619)
Cd (0.613, 0.613, 0.162)

calculated formation energy = -203.4 kJ/mol of formula units
N(E_F) = 4.37 states/eV per cell
electronic total energy = -1.6709 eV/atom
symmetry = R-3m, No. 166
magnetization = 0.00 Bohr magnetons per cell



# 8
Compound: Tl4HgPt
Source: the Alexandria database
Functional: PBE-GGA
Structure: relaxed

Lattice parameters (Å, degrees): 7.439 7.439 7.836 118.34 118.34 90.00
Atoms (fractional coordinates):
Tl (0.485, 0.985, 0.280)
Tl (0.985, 0.795, 0.280)
Tl (0.295, 0.485, 0.280)
Tl (0.705, 0.515, 0.720)
Tl (0.015, 0.205, 0.720)
Tl (0.515, 0.015, 0.720)
Tl (0.205, 0.705, 0.720)
Tl (0.795, 0.295, 0.280)
Hg (0.500, 0.500, 0.000)
Hg (0.000, 0.000, 0.000)
Pt (0.250, 0.250, 0.500)
Pt (0.750, 0.750, 0.500)

calculated formation energy = 7.8 kJ/mol of formula units
N(E_F) = 6.71 states/eV per cell
electronic total energy = -2.6212 eV/atom
symmetry = I4/mcm, No. 140
excess energy over the best structure of this formula in the dataset = 45 meV per atom
magnetization = 0.00 Bohr magnetons per cell



# 9
Compound: Pm7Er2In2
Source: the Alexandria database
Functional: PBE-GGA
Structure: relaxed

Lattice parameters (Å, degrees): 3.669 10.626 10.626 63.83 80.06 80.06
Atoms (fractional coordinates):
Pm (0.823, 0.023, 0.332)
Pm (0.850, 0.470, 0.831)
Pm (0.500, 0.034, 0.966)
Pm (0.605, 0.491, 0.299)
Pm (0.395, 0.701, 0.509)
Pm (0.177, 0.668, 0.977)
Pm (0.150, 0.169, 0.530)
Er (0.725, 0.860, 0.691)
Er (0.275, 0.309, 0.140)
In (0.000, 0.790, 0.210)
In (0.500, 0.339, 0.661)

calculated formation energy = -40.4 kJ/mol of formula units
N(E_F) = 13.71 states/eV per cell
electronic total energy = -4.3887 eV/atom
symmetry = Imm2, No. 44
magnetization = 0.00 Bohr magnetons per cell



# 10
Compound: Nb3SiAu
Source: the Alexandria database
Functional: PBE-GGA
Structure: relaxed

Lattice parameters (Å, degrees): 4.645 4.645 4.645 90.00 90.00 90.00
Atoms (fractional coordinates):
Nb (0.000, 0.500, 0.000)
Nb (0.000, 0.000, 0.500)
Nb (0.500, 0.000, 0.000)
Au (0.500, 0.500, 0.500)
Si (0.000, 0.000, 0.000)

N(E_F) = 2.71 states/eV per cell
electronic total energy = -7.2131 eV/atom
symmetry = Pm-3m, No. 221
formation energy (no corrections) = 2.84 eV per formula unit
excess energy over the best structure of this formula in the dataset = 0 meV per atom
magnetization = 0.00 Bohr magnetons per cell



# 11
Compound: La2SiN
Source: the Alexandria database
Functional: PBE-GGA
Structure: relaxed

Lattice parameters (Å, degrees): 7.079 7.079 6.443 56.67 56.67 90.00
Atoms (fractional coordinates):
Si (0.000, 0.000, 0.000)
Si (0.750, 0.250, 0.500)
N (0.500, 0.500, 0.000)
N (0.250, 0.750, 0.500)
La (0.550, 0.125, 0.250)
La (0.200, 0.625, 0.250)
La (0.375, 0.450, 0.750)
La (0.875, 0.800, 0.750)

N(E_F) = 10.31 states/eV per cell
electronic total energy = -6.6600 eV/atom
symmetry = I-42d, No. 122
formation energy (no corrections) = -3.04 eV per formula unit
excess energy over the best structure of this formula in the dataset = 55 meV per atom
magnetization = 0.00 Bohr magnetons per cell



# 12
Compound: Tm2BeIr2
Source: the Alexandria database
Functional: PBE-GGA
Structure: relaxed

Lattice parameters (Å, degrees): 5.678 5.678 7.093 78.64 78.64 56.43
Atoms (fractional coordinates):
Tm (0.490, 0.218, 0.146)
Tm (0.782, 0.510, 0.354)
Tm (0.510, 0.782, 0.854)
Tm (0.218, 0.490, 0.646)
Be (0.096, 0.904, 0.250)
Be (0.904, 0.096, 0.750)
Ir (0.736, 0.006, 0.511)
Ir (0.994, 0.264, 0.989)
Ir (0.264, 0.994, 0.489)
Ir (0.006, 0.736, 0.011)

calculated formation energy = -389.6 kJ/mol of formula units
N(E_F) = 4.25 states/eV per cell
electronic total energy = -6.8859 eV/atom
symmetry = C2/c, No. 15
magnetization = 0.00 Bohr magnetons per cell



# 13
Compound: Ho2MnFe3
Source: the Alexandria database
Functional: PBE-GGA
Structure: relaxed

Lattice parameters (Å, degrees): 5.079 5.079 5.134 89.94 119.67 120.05
Atoms (fractional coordinates):
Ho (0.752, 0.376, 0.128)
Ho (0.248, 0.624, 0.872)
Mn (0.000, 0.000, 0.000)
Fe (0.500, 0.500, 0.500)
Fe (0.000, 0.000, 0.500)
Fe (0.500, 0.000, 0.500)

calculated formation energy = -25.3 kJ/mol of formula units
N(E_F) = 6.61 states/eV per cell
electronic total energy = -7.3292 eV/atom
symmetry = R-3m, No. 166
magnetization = 6.08 Bohr magnetons per cell



# 14
Compound: Mg2ZrRe
Source: the Alexandria database
Functional: PBE-GGA
Structure: relaxed

Lattice parameters (Å, degrees): 5.611 5.611 5.611 143.25 133.87 60.38
Atoms (fractional coordinates):
Mg (0.983, 0.983, 0.000)
Mg (0.517, 0.517, 0.000)
Re (0.750, 0.250, 0.500)
Zr (0.250, 0.750, 0.500)

calculated formation energy = 50.7 kJ/mol of formula units
N(E_F) = 3.16 states/eV per cell
electronic total energy = -5.9150 eV/atom
symmetry = Immm, No. 71
excess energy over the best structure of this formula in the dataset = 30 meV per atom
magnetization = 0.00 Bohr magnetons per cell



# 15
Compound: Hf2TiSnP
Source: the Alexandria database
Functional: PBE-GGA
Structure: relaxed

Lattice parameters (Å, degrees): 5.054 4.504 5.054 90.00 90.00 90.00
Atoms (fractional coordinates):
P (0.000, 0.500, 0.000)
Hf (0.000, 0.000, 0.500)
Hf (0.500, 0.000, 0.000)
Sn (0.500, 0.500, 0.500)
Ti (0.000, 0.000, 0.000)

calculated formation energy = 239.3 kJ/mol of formula units
N(E_F) = 4.43 states/eV per cell
electronic total energy = -6.9469 eV/atom
symmetry = P4/mmm, No. 123
magnetization = 0.00 Bohr magnetons per cell



# 16
Compound: SmAgB
Source: the Alexandria database
Functional: PBE-GGA
Structure: relaxed

Lattice parameters (Å, degrees): 3.876 4.945 6.970 100.49 90.00 113.07
Atoms (fractional coordinates):
Sm (0.111, 0.221, 0.809)
Sm (0.889, 0.779, 0.191)
Ag (0.364, 0.729, 0.579)
Ag (0.636, 0.271, 0.421)
B (0.579, 0.158, 0.071)
B (0.421, 0.842, 0.929)

calculated formation energy = -35.2 kJ/mol of formula units
N(E_F) = 3.67 states/eV per cell
electronic total energy = -4.8709 eV/atom
symmetry = C2/m, No. 12
magnetization = 0.00 Bohr magnetons per cell



# 17
Compound: CuOs4W
Source: the Alexandria database
Functional: PBE-GGA
Structure: relaxed

Lattice parameters (Å, degrees): 5.097 5.097 5.097 60.00 60.00 60.00
Atoms (fractional coordinates):
Cu (0.000, 0.000, 0.000)
Os (0.876, 0.375, 0.375)
Os (0.375, 0.375, 0.876)
Os (0.375, 0.876, 0.375)
Os (0.375, 0.375, 0.375)
W (0.750, 0.750, 0.750)

calculated formation energy = 370.4 kJ/mol of formula units
N(E_F) = 6.51 states/eV per cell
electronic total energy = -9.6882 eV/atom
symmetry = F-43m, No. 216
magnetization = 0.00 Bohr magnetons per cell



# 18
Compound: Cs2BaN
Source: the Alexandria database
Functional: PBE-GGA
Structure: relaxed

Lattice parameters (Å, degrees): 5.714 5.714 5.714 60.00 60.00 60.00
Atoms (fractional coordinates):
Cs (0.250, 0.250, 0.250)
Cs (0.750, 0.750, 0.750)
Ba (0.500, 0.500, 0.500)
N (0.000, 0.000, 0.000)

N(E_F) = 5.42 states/eV per cell
electronic total energy = -1.8232 eV/atom
symmetry = Fm-3m, No. 225
formation energy (no corrections) = 4.66 eV per formula unit
excess energy over the best structure of this formula in the dataset = 858 meV per atom
magnetization = 0.00 Bohr magnetons per cell



# 19
Compound: K2UAlSe5
Source: the Alexandria database
Functional: PBE-GGA
Structure: relaxed

Lattice parameters (Å, degrees): 4.142 9.858 14.373 90.00 90.00 102.13
Atoms (fractional coordinates):
K (0.879, 0.758, 0.829)
K (0.111, 0.222, 0.679)
K (0.121, 0.242, 0.329)
K (0.889, 0.778, 0.179)
U (0.793, 0.587, 0.528)
U (0.207, 0.413, 0.028)
Al (0.568, 0.136, 0.922)
Al (0.432, 0.864, 0.422)
Se (0.340, 0.681, 0.008)
Se (0.695, 0.390, 0.892)
Se (0.506, 0.012, 0.786)
Se (0.296, 0.592, 0.656)
Se (0.943, 0.885, 0.523)
Se (0.660, 0.319, 0.508)
Se (0.305, 0.610, 0.392)
Se (0.494, 0.988, 0.286)
Se (0.704, 0.408, 0.156)
Se (0.057, 0.115, 0.023)

N(E_F) = 11.97 states/eV per cell
electronic total energy = -4.9584 eV/atom
symmetry = Cmc2_1, No. 36
formation energy (no corrections) = -9.98 eV per formula unit
magnetization = 2.08 Bohr magnetons per cell



# 20
Compound: LiLaMnN3
Source: the Alexandria database
Functional: PBE-GGA
Structure: relaxed

Lattice parameters (Å, degrees): 5.276 5.365 5.590 118.68 90.00 90.00
Atoms (fractional coordinates):
Li (0.250, 0.440, 0.881)
Li (0.750, 0.560, 0.119)
La (0.750, 0.259, 0.518)
La (0.250, 0.741, 0.482)
Mn (0.250, 0.062, 0.125)
Mn (0.750, 0.938, 0.875)
N (0.250, 0.240, 0.480)
N (0.000, 0.221, 0.000)
N (0.500, 0.779, 0.000)
N (0.500, 0.221, 0.000)
N (0.000, 0.779, 0.000)
N (0.750, 0.760, 0.520)

N(E_F) = 2.87 states/eV per cell
electronic total energy = -7.4844 eV/atom
symmetry = Cmcm, No. 63
formation energy (no corrections) = -3.92 eV per formula unit
magnetization = 0.00 Bohr magnetons per cell